1.
Entry from Alexandria via LeMat-Bulk: an optimized crystal structure of CaScTlIn (PBE).

Geometry as POSCAR:
```
CaScTlIn
1.0
-0.923 1.932 -4.813
-4.139 -1.708 -2.774
-4.118 3.181 -0.816
Ca Tl Sc In
1 1 1 1
Direct
0.500 0.500 0.500 Ca
0.250 0.250 0.250 Tl
0.000 0.000 0.000 Sc
0.750 0.750 0.750 In
```

Output
* magnetic moment: 0.00 Bohr magnetons per cell
* DFT formation energy: -340 meV per atom
* DOS at the Fermi energy: 0.674 states/eV per atom
* crystal system: cubic

---

2.
Entry from Alexandria via LeMat-Bulk: an optimized crystal structure of TiAu3Br (PBE).

Geometry as POSCAR:
```
TiAu3Br
1.0
5.057 0.000 0.000
0.000 5.057 0.000
0.000 0.000 5.057
Au Br Ti
3 1 1
Direct
0.000 0.000 0.500 Au
0.000 0.500 0.000 Au
0.500 0.000 0.000 Au
0.000 0.000 0.000 Br
0.500 0.500 0.500 Ti
```

Output
* magnetic moment: 0.01 Bohr magnetons per cell
* ΔE to the lowest computed polymorph: 0.556 eV/atom
* DOS at the Fermi energy: 2.182 states/eV per atom
* crystal system: cubic

---

3.
Entry from Alexandria via LeMat-Bulk: an optimized crystal structure of ScSn2Pd9 (PBE).

Geometry as POSCAR:
```
ScSn2Pd9
1.0
4.039 0.000 0.000
0.000 4.039 0.000
0.000 0.000 12.035
Pd Sn Sc
9 2 1
Direct
0.000 0.500 0.835 Pd
0.500 0.500 0.667 Pd
0.500 0.500 0.333 Pd
0.500 0.000 0.835 Pd
0.500 0.000 0.500 Pd
0.500 0.000 0.165 Pd
0.500 0.500 0.000 Pd
0.000 0.500 0.500 Pd
0.000 0.500 0.165 Pd
0.000 0.000 0.332 Sn
0.000 0.000 0.668 Sn
0.000 0.000 0.000 Sc
```

Output
* magnetic moment: 0.00 Bohr magnetons per cell
* DFT formation energy: -624 meV per atom
* DOS at the Fermi energy: 0.385 states/eV per atom
* crystal system: tetragonal